KCoMoRh2 | PBE | relaxed

Summary:
* ΔH_f (0 K): 1.615 eV/atom
* D(E_F): 5.2 states/eV/f.u.
* raw total energy: -25.663 eV per cell

Structure (POSCAR):
```
KCoMoRh2
1.0
-3.602 2.135 -1.874
-3.015 -2.823 2.578
0.044 3.068 3.410
K Rh Mo Co
1 2 1 1
direct
0.000 0.500 0.000 K
0.000 0.000 0.500 Rh
0.500 0.000 0.000 Rh
0.500 0.500 0.500 Mo
0.000 0.000 0.000 Co
```